VASP calculation (PBE+U) on BaNdCo2O5 after structural relaxation.

abc: 3.951 3.951 7.823
angles: 90.00 90.00 90.00
Sites, in units of the cell vectors:
O1 0.500 0.000 0.807
O2 0.500 0.000 0.193
O3 0.000 0.500 0.193
O4 0.000 0.000 0.500
O5 0.000 0.500 0.807
Co1 0.000 0.000 0.244
Co2 0.000 0.000 0.756
Nd1 0.500 0.500 0.000
Ba1 0.500 0.500 0.500

Computed properties:
Final energy = -0.2439 hartree per atom
Magnetization = 6.0 μB/f.u.
Crystal system = tetragonal
Symmetry = P4/mmm, No. 123